[1]
Crystalline Co2CuPd6 at its relaxed geometry. Source: the Alexandria database, functional PBE.

```
9
Lattice="-2.258 1.547 -0.245 -0.059 -2.285 1.525 5.486 10.530 15.990" Properties=species:S:1:pos:R:3 pbc="T T T"
Co 0.283 3.740 5.615
Co 2.153 7.330 11.066
Cu -0.792 -1.008 0.935
Pd 3.373 9.671 14.621
Pd 1.583 3.550 7.856
Pd 3.452 7.139 13.306
Pd 0.450 1.376 4.555
Pd 2.319 4.965 10.004
Pd -0.937 1.399 2.060
```

- Formation energy from the elements: 1.01 kcal/mol of atoms
- Raw total energy: -49.1 eV for the cell shown
- Total magnetic moment: 5.7 μB per formula unit
- E above lowest polymorph: 0.056 eV per atom
- N(E_F): 9.83 states/eV per cell



[2]
Crystalline CoCu2Pd at its relaxed geometry. Source: the Alexandria database, functional PBE.

```
8
Lattice="-1.634 -6.450 0.643 6.391 -1.492 1.267 1.975 -3.625 3.398" Properties=species:S:1:pos:R:3 pbc="T T T"
Co 2.379 -3.971 0.955
Co 5.373 -4.544 2.810
Cu 0.302 -5.002 1.398
Cu 4.253 -2.767 1.734
Cu 3.386 -5.725 3.289
Cu 5.524 -9.640 4.196
Pd 0.000 0.000 0.000
Pd 1.360 -7.023 2.498
```

- Formation energy from the elements: 10.47 kcal/mol of atoms
- Raw total energy: -37.3 eV for the cell shown
- Total magnetic moment: 2.1 μB per formula unit
- E above lowest polymorph: 0.363 eV per atom
- N(E_F): 6.92 states/eV per cell



[3]
Crystalline CoCu3Pd12 at its relaxed geometry. Source: the Alexandria database, functional PBE.

```
16
Lattice="3.885 0.000 0.000 0.000 3.885 0.000 0.000 0.000 15.516" Properties=species:S:1:pos:R:3 pbc="T T T"
Co 0.000 0.000 0.000
Cu 0.000 0.000 3.878
Cu 0.000 0.000 7.758
Cu 0.000 0.000 11.638
Pd 1.943 1.943 0.000
Pd 1.943 1.943 3.870
Pd 1.943 1.943 7.758
Pd 1.943 1.943 11.646
Pd 1.943 0.000 1.916
Pd 1.943 0.000 5.817
Pd 1.943 0.000 9.699
Pd 1.943 0.000 13.600
Pd 0.000 1.943 1.916
Pd 0.000 1.943 5.817
Pd 0.000 1.943 9.699
Pd 0.000 1.943 13.600
```

- Formation energy from the elements: -0.70 kcal/mol of atoms
- Raw total energy: -82.2 eV for the cell shown
- Total magnetic moment: 3.1 μB per formula unit
- N(E_F): 21.47 states/eV per cell



[4]
Crystalline CoCuPd6 at its relaxed geometry. Source: the Alexandria database, functional PBE.

```
8
Lattice="3.739 0.000 1.021 1.718 4.304 1.067 0.026 -0.071 7.264" Properties=species:S:1:pos:R:3 pbc="T T T"
Co 0.000 0.000 0.000
Cu 0.872 2.117 4.165
Pd 2.454 3.713 5.729
Pd 2.313 0.999 6.245
Pd 1.583 1.612 1.559
Pd 3.170 3.234 3.106
Pd 3.029 0.520 3.622
Pd 3.899 2.621 7.792
```

- Formation energy from the elements: -0.11 kcal/mol of atoms
- Raw total energy: -42.4 eV for the cell shown
- Total magnetic moment: 3.7 μB per formula unit
- N(E_F): 10.56 states/eV per cell



[5]
Crystalline CoCu2Pd3 at its relaxed geometry. Source: the Alexandria database, functional PBE.

```
6
Lattice="2.768 0.000 0.000 0.000 2.768 0.000 0.000 0.000 10.712" Properties=species:S:1:pos:R:3 pbc="T T T"
Co 1.384 1.384 5.356
Cu 1.384 1.384 8.922
Cu 1.384 1.384 1.790
Pd 0.000 0.000 0.000
Pd 0.000 0.000 7.104
Pd 0.000 0.000 3.607
```

- Formation energy from the elements: -1.04 kcal/mol of atoms
- Raw total energy: -31.1 eV for the cell shown
- Total magnetic moment: 2.5 μB per formula unit
- N(E_F): 5.39 states/eV per cell



[6]
Crystalline Co3CuPd at its relaxed geometry. Source: the Alexandria database, functional PBE.

```
5
Lattice="4.266 0.000 0.000 0.000 4.266 0.000 0.000 0.000 4.266" Properties=species:S:1:pos:R:3 pbc="T T T"
Co 0.000 2.133 0.000
Co 0.000 0.000 2.133
Co 2.133 0.000 0.000
Cu 0.000 0.000 0.000
Pd 2.133 2.133 2.133
```

- Formation energy from the elements: 27.83 kcal/mol of atoms
- Raw total energy: -24.6 eV for the cell shown
- Total magnetic moment: 5.9 μB per formula unit
- E above lowest polymorph: 0.000 eV per atom
- N(E_F): 8.61 states/eV per cell



[7]
Crystalline CoCu3Pd6 at its relaxed geometry. Source: the Alexandria database, functional PBE.

```
20
Lattice="-3.942 -1.250 -1.561 3.141 -2.348 -6.052 -0.564 -6.762 6.841" Properties=species:S:1:pos:R:3 pbc="T T T"
Co 1.723 -6.431 -2.331
Co -3.089 -3.929 1.559
Cu 0.550 -4.103 -1.231
Cu -1.915 -6.256 0.459
Cu -0.238 -6.428 2.619
Cu -1.128 -3.932 -3.391
Cu 0.876 -8.662 1.597
Cu -2.241 -1.697 -2.369
Pd 0.442 -1.900 -2.725
Pd -1.808 -8.459 1.953
Pd -0.579 -1.818 -0.211
Pd -0.787 -8.541 -0.561
Pd 0.727 -6.369 0.136
Pd -2.092 -3.990 -0.908
Pd -0.448 -4.172 1.342
Pd -0.918 -6.188 -2.114
Pd 1.546 -4.233 -3.644
Pd -2.912 -6.126 2.872
Pd -1.241 -6.325 5.070
Pd -0.125 -4.034 -5.842
```

- Formation energy from the elements: -0.81 kcal/mol of atoms
- Raw total energy: -101.8 eV for the cell shown
- Total magnetic moment: 3.2 μB per formula unit
- E above lowest polymorph: 0.000 eV per atom
- N(E_F): 19.15 states/eV per cell



[8]
Crystalline CoCu2Pd8 at its relaxed geometry. Source: the Alexandria database, functional PBE.

```
11
Lattice="4.119 0.232 -0.151 -0.421 6.119 -2.067 0.215 0.386 6.457" Properties=species:S:1:pos:R:3 pbc="T T T"
Co 2.060 0.116 -0.076
Pd -0.254 6.141 2.506
Pd -0.086 4.625 4.760
Pd 1.922 4.481 2.870
Pd 2.117 1.929 4.260
Pd 1.797 4.808 -0.021
Pd 1.992 2.256 1.369
Pd 4.000 2.112 -0.521
Pd 4.168 0.596 1.733
Cu -0.177 3.922 1.200
Cu -0.028 2.583 3.190
```

- Formation energy from the elements: 2.51 kcal/mol of atoms
- Raw total energy: -55.6 eV for the cell shown
- Total magnetic moment: 4.0 μB per formula unit
- E above lowest polymorph: 0.000 eV per atom
- N(E_F): 15.31 states/eV per cell



[9]
Crystalline CoCuPd at its relaxed geometry. Source: the Alexandria database, functional PBE.

```
3
Lattice="2.662 0.000 0.000 -1.331 2.305 0.000 0.000 0.000 6.370" Properties=species:S:1:pos:R:3 pbc="T T T"
Co 1.331 0.768 2.079
Cu 0.000 0.000 0.069
Pd 0.000 1.537 4.222
```

- Formation energy from the elements: 2.21 kcal/mol of atoms
- Raw total energy: -16.1 eV for the cell shown
- Total magnetic moment: 2.0 μB per formula unit
- E above lowest polymorph: 0.081 eV per atom
- N(E_F): 3.27 states/eV per cell



[10]
Crystalline CoCu2Pd8 at its relaxed geometry. Source: the Alexandria database, functional PBE.

```
11
Lattice="-2.933 -2.000 2.866 -4.186 -2.825 -4.068 2.499 -5.954 0.589" Properties=species:S:1:pos:R:3 pbc="T T T"
Co 0.000 0.000 0.000
Cu -1.600 -2.115 0.876
Cu -3.019 -8.664 -1.488
Pd -1.325 -6.050 2.060
Pd 0.159 -6.345 -0.268
Pd -3.056 -4.093 1.636
Pd -1.563 -6.687 -2.249
Pd -4.778 -4.434 -0.345
Pd -3.294 -4.729 -2.673
Pd -1.584 -4.274 -0.598
Pd -3.035 -6.506 -0.014
```

- Formation energy from the elements: 6.76 kcal/mol of atoms
- Raw total energy: -53.6 eV for the cell shown
- Total magnetic moment: 4.0 μB per formula unit
- E above lowest polymorph: 0.184 eV per atom
- N(E_F): 14.93 states/eV per cell



[11]
Crystalline CoCu2Pd2 at its relaxed geometry. Source: the Alexandria database, functional PBE.

```
10
Lattice="7.114 0.000 0.000 0.000 7.114 0.000 0.000 0.000 2.834" Properties=species:S:1:pos:R:3 pbc="T T T"
Co 0.000 0.000 0.000
Co 3.557 3.557 0.000
Cu 1.108 4.665 1.417
Cu 4.665 6.006 1.417
Cu 6.006 2.449 1.417
Cu 2.449 1.108 1.417
Pd 2.544 6.101 0.000
Pd 6.101 4.570 0.000
Pd 4.570 1.013 0.000
Pd 1.013 2.544 0.000
```

- Formation energy from the elements: 6.21 kcal/mol of atoms
- Raw total energy: -48.7 eV for the cell shown
- Total magnetic moment: 2.1 μB per formula unit
- E above lowest polymorph: 0.241 eV per atom
- N(E_F): 9.84 states/eV per cell



[12]
Crystalline CoCu2Pd5 at its relaxed geometry. Source: the Alexandria database, functional PBE.

```
16
Lattice="6.446 0.000 0.000 0.000 6.446 0.000 -3.223 -3.223 5.580" Properties=species:S:1:pos:R:3 pbc="T T T"
Co 3.223 3.223 2.790
Co 0.000 0.000 2.790
Cu 0.873 2.350 0.000
Cu 4.096 0.873 0.000
Cu 2.350 5.573 0.000
Cu 5.573 4.096 0.000
Pd 1.017 2.206 3.819
Pd 4.240 -1.017 1.761
Pd 0.000 0.000 0.000
Pd 3.223 3.223 0.000
Pd -1.017 4.240 3.819
Pd 2.206 -1.017 3.819
Pd 4.240 1.017 3.819
Pd 1.017 4.240 1.761
Pd -1.017 2.206 1.761
Pd 2.206 1.017 1.761
```

- Formation energy from the elements: 1.59 kcal/mol of atoms
- Raw total energy: -81.4 eV for the cell shown
- Total magnetic moment: 3.3 μB per formula unit
- E above lowest polymorph: 0.059 eV per atom
- N(E_F): 16.61 states/eV per cell